Record 1
Computed, not measured: a relaxed Mg3Al18Cr2 crystal at the PBEsol level of DFT.

a = 14.3912 Å, b = 14.3912 Å, c = 14.3912 Å
α = 90.00°, β = 90.00°, γ = 90.00°
Space group Fd-3m (No. 227, origin choice 2)
Symmetry-distinct sites (fractional):
1 Mg 0.0000 0.0000 0.0000 x16
2 Mg 0.1250 0.1250 0.1250 x8
3 Al 0.0141 0.3750 0.8750 x48
4 Al 0.0582 0.0582 0.3260 x96
5 Cr 0.0000 0.0000 0.5000 x16

Results
* DFT formation energy: -0.098 eV per atom


Record 2
Computed, not measured: a relaxed ScPtAu2 crystal at the PBEsol level of DFT.

a = 3.9998 Å, b = 3.9998 Å, c = 8.2953 Å
α = 90.00°, β = 90.00°, γ = 90.00°
Space group I-4m2 (No. 119)
Symmetry-distinct sites (fractional):
1 Sc 0.0000 0.0000 0.0000 x2
2 Pt 0.0000 0.5000 0.2500 x2
3 Au 0.0000 0.0000 0.5000 x2
4 Au 0.0000 0.5000 0.7500 x2

Results
* DFT formation energy: -0.779 eV per atom


Record 3
Computed, not measured: a relaxed LaZnSi crystal at the PBEsol level of DFT.

a = 4.1791 Å, b = 4.1791 Å, c = 4.3164 Å
α = 90.00°, β = 90.00°, γ = 120.00°
Space group P-6m2 (No. 187)
Symmetry-distinct sites (fractional):
1 La 0.0000 0.0000 0.0000 x1
2 Zn 0.6667 0.3333 0.5000 x1
3 Si 0.3333 0.6667 0.5000 x1

Results
* energy relative to the elements, uncorrected: -15.2 kcal/mol of atoms


Record 4
Computed, not measured: a relaxed La4AlAu crystal at the PBEsol level of DFT.

a = 8.8137 Å, b = 8.8137 Å, c = 8.8137 Å
α = 90.00°, β = 90.00°, γ = 90.00°
Space group F-43m (No. 216)
Symmetry-distinct sites (fractional):
1 La 0.1241 0.1241 0.1241 x16
2 Al 0.2500 0.2500 0.7500 x4
3 Au 0.0000 0.0000 0.5000 x4

Results
* DFT formation energy: 0.268 eV per atom


Record 5
Computed, not measured: a relaxed BaLa2Cu crystal at the PBEsol level of DFT.

a = 3.9234 Å, b = 3.9234 Å, c = 31.2833 Å
α = 90.00°, β = 90.00°, γ = 120.00°
Space group R-3m (No. 166, hexagonal axes)
Symmetry-distinct sites (fractional):
1 Ba 0.0000 0.0000 0.0000 x3
2 La 0.0000 0.0000 0.2253 x6
3 Cu 0.0000 0.0000 0.5000 x3

Results
* DFT formation energy: 0.143 eV per atom


Record 6
Computed, not measured: a relaxed ScNbBi2Ru crystal at the PBEsol level of DFT.

a = 5.3135 Å, b = 5.3135 Å, c = 4.5477 Å
α = 90.00°, β = 90.00°, γ = 90.00°
Space group P4/mmm (No. 123)
Symmetry-distinct sites (fractional):
1 Sc 0.0000 0.0000 0.0000 x1
2 Nb 0.0000 0.0000 0.5000 x1
3 Bi 0.0000 0.5000 0.0000 x2
4 Ru 0.5000 0.5000 0.5000 x1

Results
* DFT formation energy: 1.578 eV per atom


Record 7
Computed, not measured: a relaxed Fe3Co5 crystal at the PBEsol level of DFT.

a = 8.7207 Å, b = 2.7710 Å, c = 7.8719 Å
α = 90.00°, β = 115.11°, γ = 90.00°
Space group C2/m (No. 12)
Symmetry-distinct sites (fractional):
1 Fe 0.0000 0.0000 0.0000 x2
2 Fe 0.2500 0.0000 0.8729 x4
3 Co 0.0000 0.0000 0.5000 x2
4 Co 0.0031 0.5000 0.7513 x4
5 Co 0.2480 0.0000 0.3741 x4

Results
* DFT formation energy: 0.055 eV per atom


Record 8
Computed, not measured: a relaxed TaCuAs2 crystal at the PBEsol level of DFT.

a = 3.1856 Å, b = 3.1856 Å, c = 22.2267 Å
α = 90.00°, β = 90.00°, γ = 120.00°
Space group R-3m (No. 166, hexagonal axes)
Symmetry-distinct sites (fractional):
1 Ta 0.0000 0.0000 0.0000 x3
2 Cu 0.0000 0.0000 0.5000 x3
3 As 0.0000 0.0000 0.2478 x6

Results
* DFT formation energy: -0.021 eV per atom


Record 9
Computed, not measured: a relaxed LiIn2Hg crystal at the PBEsol level of DFT.

a = 4.4477 Å, b = 4.4477 Å, c = 8.6965 Å
α = 90.00°, β = 90.00°, γ = 90.00°
Space group I-4m2 (No. 119)
Symmetry-distinct sites (fractional):
1 Li 0.0000 0.0000 0.0000 x2
2 In 0.0000 0.0000 0.5000 x2
3 In 0.0000 0.5000 0.7500 x2
4 Hg 0.0000 0.5000 0.2500 x2

Results
* DFT formation energy: -0.200 eV per atom


Record 10
Computed, not measured: a relaxed BaMo2P4O14 crystal at the PBEsol level of DFT.

a = 10.8198 Å, b = 10.6537 Å, c = 9.8949 Å
α = 90.00°, β = 103.74°, γ = 90.00°
Space group C2/c (No. 15)
Symmetry-distinct sites (fractional):
1 Ba 0.2500 0.2500 0.0000 x4
2 Mo 0.0000 0.0000 0.0000 x4
3 Mo 0.0000 0.4529 0.2500 x4
4 P 0.0559 0.3097 0.5569 x8
5 P 0.2231 0.0440 0.2999 x8
6 O 0.0169 0.1773 0.5894 x8
7 O 0.0375 0.4020 0.8993 x8
8 O 0.0623 0.3238 0.4067 x8
9 O 0.1360 0.0840 0.1615 x8
10 O 0.1564 0.0096 0.4132 x8
11 O 0.1815 0.4398 0.2085 x8
12 O 0.1949 0.3282 0.6585 x8

Results
* energy relative to the elements, uncorrected: -49.8 kcal/mol of atoms


Record 11
Computed, not measured: a relaxed YZn3Os crystal at the PBEsol level of DFT.

a = 4.6819 Å, b = 4.6819 Å, c = 4.6819 Å
α = 90.00°, β = 90.00°, γ = 90.00°
Space group Pm-3m (No. 221)
Symmetry-distinct sites (fractional):
1 Y 0.0000 0.0000 0.0000 x1
2 Zn 0.0000 0.5000 0.5000 x3
3 Os 0.5000 0.5000 0.5000 x1

Results
* DFT formation energy: 0.214 eV per atom


Record 12
Computed, not measured: a relaxed CuBiP2Os crystal at the PBEsol level of DFT.

a = 4.4823 Å, b = 4.4823 Å, c = 4.9150 Å
α = 90.00°, β = 90.00°, γ = 90.00°
Space group P4/mmm (No. 123)
Symmetry-distinct sites (fractional):
1 Cu 0.0000 0.0000 0.0000 x1
2 Bi 0.5000 0.5000 0.0000 x1
3 P 0.0000 0.5000 0.5000 x2
4 Os 0.0000 0.0000 0.5000 x1

Results
* DFT formation energy: 0.567 eV per atom


> What is the formula in the eighth record?

TaCuAs2